[1]
# Nb2BiPt PBE optimized geometry
# E_tot   -29.18 eV per formula unit
data_Nb2BiPt
_chemical_formula_sum 'Nb8 Bi4 Pt4'
_cell_length_a 6.7755
_cell_length_b 6.7755
_cell_length_c 6.7755
_cell_angle_alpha 90.00
_cell_angle_beta 90.00
_cell_angle_gamma 90.00
_symmetry_space_group_name_H-M 'F -4 3 m'
_symmetry_Int_Tables_number 216
_symmetry_space_group_name_Hall 'F -4 2 3'
loop_
_atom_site_label
_atom_site_fract_x
_atom_site_fract_y
_atom_site_fract_z
_atom_site_occupancy
Nb1 0.0000 0.0000 0.0000 1
Nb2 0.2500 0.2500 0.2500 1
Bi1 0.0000 0.0000 0.5000 1
Pt1 0.2500 0.2500 0.7500 1



[2]
# PaZnNO PBE optimized geometry
# Offset from the most stable computed form   108 meV per atom
# E_tot   -27.32 eV per formula unit
data_PaZnNO
_chemical_formula_sum 'Pa2 Zn2 N2 O2'
_cell_length_a 3.5433
_cell_length_b 5.5924
_cell_length_c 5.8179
_cell_angle_alpha 90.00
_cell_angle_beta 90.00
_cell_angle_gamma 90.00
_symmetry_space_group_name_H-M 'P m c 21'
_symmetry_Int_Tables_number 26
_symmetry_space_group_name_Hall 'P 2c -2'
loop_
_atom_site_label
_atom_site_fract_x
_atom_site_fract_y
_atom_site_fract_z
_atom_site_occupancy
Pa1 0.0000 0.2114 0.0000 1
Zn1 0.5000 0.2786 0.5047 1
N1 0.5000 0.0382 0.2428 1
O1 0.0000 0.4028 0.6280 1



[3]
# NaHfAuSe3 PBE optimized geometry
# Offset from the most stable computed form   50 meV per atom
# E_tot   -30.47 eV per formula unit
data_NaHfAuSe3
_chemical_formula_sum 'Na4 Hf4 Au4 Se12'
_cell_length_a 3.8651
_cell_length_b 13.8229
_cell_length_c 10.4054
_cell_angle_alpha 90.00
_cell_angle_beta 90.00
_cell_angle_gamma 90.00
_symmetry_space_group_name_H-M 'C m c m'
_symmetry_Int_Tables_number 63
_symmetry_space_group_name_Hall '-C 2c 2'
loop_
_atom_site_label
_atom_site_fract_x
_atom_site_fract_y
_atom_site_fract_z
_atom_site_occupancy
Na1 0.0000 0.2405 0.2500 1
Hf1 0.0000 0.0000 0.0000 1
Au1 0.0000 0.4457 0.7500 1
Se1 0.0000 0.0814 0.7500 1
Se2 0.0000 0.3639 0.5317 1



[4]
# KP5Pt3 PBE optimized geometry
# E_tot   -45.95 eV per formula unit
data_KP5Pt3
_chemical_formula_sum 'K1 P5 Pt3'
_cell_length_a 5.7367
_cell_length_b 5.7367
_cell_length_c 7.3782
_cell_angle_alpha 90.00
_cell_angle_beta 90.00
_cell_angle_gamma 120.00
_symmetry_space_group_name_H-M 'P 6/m m m'
_symmetry_Int_Tables_number 191
_symmetry_space_group_name_Hall '-P 6 2'
loop_
_atom_site_label
_atom_site_fract_x
_atom_site_fract_y
_atom_site_fract_z
_atom_site_occupancy
K1 0.0000 0.0000 0.0000 1
P1 0.0000 0.0000 0.5000 1
P2 0.3333 0.6667 0.2617 1
Pt1 0.0000 0.5000 0.5000 1



[5]
# KSbAu PBE optimized geometry
# Offset from the most stable computed form   0 meV per atom
# E_tot   -8.77 eV per formula unit
data_KSbAu
_chemical_formula_sum 'K4 Sb4 Au4'
_cell_length_a 7.1131
_cell_length_b 7.1131
_cell_length_c 7.1131
_cell_angle_alpha 90.00
_cell_angle_beta 90.00
_cell_angle_gamma 90.00
_symmetry_space_group_name_H-M 'F -4 3 m'
_symmetry_Int_Tables_number 216
_symmetry_space_group_name_Hall 'F -4 2 3'
loop_
_atom_site_label
_atom_site_fract_x
_atom_site_fract_y
_atom_site_fract_z
_atom_site_occupancy
K1 0.0000 0.0000 0.0000 1
Sb1 0.0000 0.0000 0.5000 1
Au1 0.2500 0.2500 0.2500 1



[6]
# BeCdPO PBE optimized geometry
# Offset from the most stable computed form   18 meV per atom
# E_tot   -18.42 eV per formula unit
data_BeCdPO
_chemical_formula_sum 'Be2 Cd2 P2 O2'
_cell_length_a 3.1024
_cell_length_b 7.0112
_cell_length_c 5.3301
_cell_angle_alpha 90.00
_cell_angle_beta 90.00
_cell_angle_gamma 90.00
_symmetry_space_group_name_H-M 'P m c 21'
_symmetry_Int_Tables_number 26
_symmetry_space_group_name_Hall 'P 2c -2'
loop_
_atom_site_label
_atom_site_fract_x
_atom_site_fract_y
_atom_site_fract_z
_atom_site_occupancy
Be1 0.0000 0.0860 0.0000 1
Cd1 0.5000 0.3102 0.3925 1
P1 0.5000 0.3209 0.8728 1
O1 0.0000 0.0705 0.2948 1



[7]
# NdAgTe3Pb PBE optimized geometry
# Offset from the most stable computed form   0 meV per atom
# E_tot   -25.17 eV per formula unit
data_NdAgTe3Pb
_chemical_formula_sum 'Nd4 Ag4 Te12 Pb4'
_cell_length_a 14.7923
_cell_length_b 4.4177
_cell_length_c 11.9015
_cell_angle_alpha 90.00
_cell_angle_beta 90.00
_cell_angle_gamma 90.00
_symmetry_space_group_name_H-M 'P n m a'
_symmetry_Int_Tables_number 62
_symmetry_space_group_name_Hall '-P 2ac 2n'
loop_
_atom_site_label
_atom_site_fract_x
_atom_site_fract_y
_atom_site_fract_z
_atom_site_occupancy
Nd1 0.0110 0.2500 0.1764 1
Ag1 0.0075 0.7500 0.4133 1
Te1 0.1136 0.2500 0.9393 1
Te2 0.1204 0.7500 0.6169 1
Te3 0.1519 0.7500 0.2532 1
Pb1 0.2193 0.2500 0.4484 1



[8]
# SmNpHg PBE optimized geometry
# Offset from the most stable computed form   0 meV per atom
# E_tot   -16.46 eV per formula unit
data_SmNpHg
_chemical_formula_sum 'Sm4 Np4 Hg4'
_cell_length_a 7.2731
_cell_length_b 7.2731
_cell_length_c 7.2731
_cell_angle_alpha 90.00
_cell_angle_beta 90.00
_cell_angle_gamma 90.00
_symmetry_space_group_name_H-M 'F -4 3 m'
_symmetry_Int_Tables_number 216
_symmetry_space_group_name_Hall 'F -4 2 3'
loop_
_atom_site_label
_atom_site_fract_x
_atom_site_fract_y
_atom_site_fract_z
_atom_site_occupancy
Sm1 0.0000 0.0000 0.0000 1
Np1 0.0000 0.0000 0.5000 1
Hg1 0.2500 0.2500 0.7500 1



[9]
# LiZn2Au PBE optimized geometry
# Offset from the most stable computed form   0 meV per atom
# E_tot   -9.18 eV per formula unit
data_LiZn2Au
_chemical_formula_sum 'Li2 Zn4 Au2'
_cell_length_a 4.1680
_cell_length_b 4.1680
_cell_length_c 6.8747
_cell_angle_alpha 90.00
_cell_angle_beta 90.00
_cell_angle_gamma 90.00
_symmetry_space_group_name_H-M 'I 4/m m m'
_symmetry_Int_Tables_number 139
_symmetry_space_group_name_Hall '-I 4 2'
loop_
_atom_site_label
_atom_site_fract_x
_atom_site_fract_y
_atom_site_fract_z
_atom_site_occupancy
Li1 0.0000 0.0000 0.0000 1
Zn1 0.0000 0.5000 0.2500 1
Au1 0.0000 0.0000 0.5000 1



[10]
# Rb3TlBi2Au2 PBE optimized geometry
# E_tot   -22.49 eV per formula unit
data_Rb3TlBi2Au2
_chemical_formula_sum 'Rb3 Tl1 Bi2 Au2'
_cell_length_a 6.5696
_cell_length_b 7.0210
_cell_length_c 7.0159
_cell_angle_alpha 90.00
_cell_angle_beta 110.29
_cell_angle_gamma 90.00
_symmetry_space_group_name_H-M 'P 1 m 1'
_symmetry_Int_Tables_number 6
_symmetry_space_group_name_Hall 'P -2y'
loop_
_atom_site_label
_atom_site_fract_x
_atom_site_fract_y
_atom_site_fract_z
_atom_site_occupancy
Rb1 0.0000 0.0000 0.0000 1
Rb2 0.0103 0.5000 0.2869 1
Rb3 0.6455 0.5000 0.6062 1
Tl1 0.3513 0.0000 0.6801 1
Bi1 0.2407 0.5000 0.8572 1
Bi2 0.7628 0.0000 0.4290 1
Au1 0.5128 0.2343 0.1130 1



Question: Among the records above, which one has the highest E_tot?
Answer: KSbAu



Repeat the seventh record exactly.
# NdAgTe3Pb PBE optimized geometry
# Offset from the most stable computed form   0 meV per atom
# E_tot   -25.17 eV per formula unit
data_NdAgTe3Pb
_chemical_formula_sum 'Nd4 Ag4 Te12 Pb4'
_cell_length_a 14.7923
_cell_length_b 4.4177
_cell_length_c 11.9015
_cell_angle_alpha 90.00
_cell_angle_beta 90.00
_cell_angle_gamma 90.00
_symmetry_space_group_name_H-M 'P n m a'
_symmetry_Int_Tables_number 62
_symmetry_space_group_name_Hall '-P 2ac 2n'
loop_
_atom_site_label
_atom_site_fract_x
_atom_site_fract_y
_atom_site_fract_z
_atom_site_occupancy
Nd1 0.0110 0.2500 0.1764 1
Ag1 0.0075 0.7500 0.4133 1
Te1 0.1136 0.2500 0.9393 1
Te2 0.1204 0.7500 0.6169 1
Te3 0.1519 0.7500 0.2532 1
Pb1 0.2193 0.2500 0.4484 1



Question: What is the E_tot in the seventh record?
Answer: -25.17 eV per formula unit



Question: Number 6 is which compound?
Answer: BeCdPO